[1]
Entry from the Alexandria database: LaPm3Co2 after structural relaxation (PBE).

```
data_LaPm3Co2
_chemical_formula_sum 'La4 Pm12 Co8'
_cell_length_a 17.085
_cell_length_b 3.798
_cell_length_c 12.210
_cell_angle_alpha 90.00
_cell_angle_beta 125.53
_cell_angle_gamma 90.00
_symmetry_space_group_name_H-M 'C 1 2/m 1'
_symmetry_Int_Tables_number 12
_symmetry_space_group_name_Hall '-C 2y'
loop_
_atom_site_label
_atom_site_type_symbol
_atom_site_fract_x
_atom_site_fract_y
_atom_site_fract_z
La1 La 0.160 0.000 0.261
Pm1 Pm 0.084 0.500 0.447
Pm2 Pm 0.087 0.500 0.946
Pm3 Pm 0.158 0.000 0.752
Co1 Co 0.235 0.000 0.046
Co2 Co 0.236 0.000 0.558
```

Energy above the lowest structure with this stoichiometry   0.0 kJ per mole of atoms

=====

[2]
Entry from the Alexandria database: LaPm2Co after structural relaxation (PBE).

```
data_LaPm2Co
_chemical_formula_sum 'La3 Pm6 Co3'
_cell_length_a 3.8971
_cell_length_b 3.8971
_cell_length_c 27.9334
_cell_angle_alpha 90.00
_cell_angle_beta 90.00
_cell_angle_gamma 120.00
_symmetry_space_group_name_H-M 'R 3 m'
_symmetry_Int_Tables_number 160
_symmetry_space_group_name_Hall 'R 3 -2"'
loop_
_atom_site_label
_atom_site_type_symbol
_atom_site_fract_x
_atom_site_fract_y
_atom_site_fract_z
La1 La 0.0000 0.0000 0.0000
Pm1 Pm 0.0000 0.0000 0.5531
Pm2 Pm 0.0000 0.0000 0.7767
Co1 Co 0.0000 0.0000 0.1647
```

Energy above the lowest structure with this stoichiometry   11.9 kJ per mole of atoms

=====

[3]
Entry from the Alexandria database: La3PmCo after structural relaxation (PBE).

```
data_La3PmCo
_chemical_formula_sum 'La3 Pm1 Co1'
_cell_length_a 5.497
_cell_length_b 5.497
_cell_length_c 5.497
_cell_angle_alpha 90.00
_cell_angle_beta 90.00
_cell_angle_gamma 90.00
_symmetry_space_group_name_H-M 'P m -3 m'
_symmetry_Int_Tables_number 221
_symmetry_space_group_name_Hall '-P 4 2 3'
loop_
_atom_site_label
_atom_site_type_symbol
_atom_site_fract_x
_atom_site_fract_y
_atom_site_fract_z
La1 La 0.000 0.000 0.500
Pm1 Pm 0.500 0.500 0.500
Co1 Co 0.000 0.000 0.000
```

Energy above the lowest structure with this stoichiometry   12.0 kJ per mole of atoms

=====

[4]
Entry from the Alexandria database: La2PmCo2 after structural relaxation (PBE).

```
data_La2PmCo2
_chemical_formula_sum 'La4 Pm2 Co4'
_cell_length_a 4.104
_cell_length_b 14.810
_cell_length_c 4.142
_cell_angle_alpha 90.00
_cell_angle_beta 90.00
_cell_angle_gamma 90.00
_symmetry_space_group_name_H-M 'C m m m'
_symmetry_Int_Tables_number 65
_symmetry_space_group_name_Hall '-C 2 2'
loop_
_atom_site_label
_atom_site_type_symbol
_atom_site_fract_x
_atom_site_fract_y
_atom_site_fract_z
La1 La 0.000 0.147 0.000
Pm1 Pm 0.000 0.500 0.500
Co1 Co 0.000 0.289 0.500
```

=====

[5]
Entry from the Alexandria database: LaPm2Co3 after structural relaxation (PBE).

```
data_LaPm2Co3
_chemical_formula_sum 'La4 Pm8 Co12'
_cell_length_a 14.133
_cell_length_b 8.123
_cell_length_c 4.625
_cell_angle_alpha 90.00
_cell_angle_beta 90.00
_cell_angle_gamma 90.00
_symmetry_space_group_name_H-M 'C m c m'
_symmetry_Int_Tables_number 63
_symmetry_space_group_name_Hall '-C 2c 2'
loop_
_atom_site_label
_atom_site_type_symbol
_atom_site_fract_x
_atom_site_fract_y
_atom_site_fract_z
La1 La 0.000 0.173 0.250
Pm1 Pm 0.169 0.336 0.750
Co1 Co 0.000 0.500 0.000
Co2 Co 0.167 0.000 0.000
```

=====

[6]
Entry from the Alexandria database: La2PmCo6 after structural relaxation (PBE).

```
data_La2PmCo6
_chemical_formula_sum 'La2 Pm1 Co6'
_cell_length_a 6.7969
_cell_length_b 6.7969
_cell_length_c 4.2487
_cell_angle_alpha 90.00
_cell_angle_beta 90.00
_cell_angle_gamma 120.00
_symmetry_space_group_name_H-M 'P 6/m m m'
_symmetry_Int_Tables_number 191
_symmetry_space_group_name_Hall '-P 6 2'
loop_
_atom_site_label
_atom_site_type_symbol
_atom_site_fract_x
_atom_site_fract_y
_atom_site_fract_z
La1 La 0.3333 0.6667 0.0000
Pm1 Pm 0.0000 0.0000 0.0000
Co1 Co 0.0000 0.3321 0.5000
```

=====

[7]
Entry from the Alexandria database: LaPmCo5 after structural relaxation (PBE).

```
data_LaPmCo5
_chemical_formula_sum 'La4 Pm4 Co20'
_cell_length_a 8.692
_cell_length_b 4.915
_cell_length_c 10.805
_cell_angle_alpha 90.00
_cell_angle_beta 90.00
_cell_angle_gamma 90.00
_symmetry_space_group_name_H-M 'P n m a'
_symmetry_Int_Tables_number 62
_symmetry_space_group_name_Hall '-P 2ac 2n'
loop_
_atom_site_label
_atom_site_type_symbol
_atom_site_fract_x
_atom_site_fract_y
_atom_site_fract_z
La1 La 0.127 0.250 0.115
Pm1 Pm 0.239 0.250 0.421
Co1 Co 0.052 0.750 0.483
Co2 Co 0.055 0.250 0.864
Co3 Co 0.074 0.502 0.679
Co4 Co 0.183 0.750 0.270
```

=====

[8]
Entry from the Alexandria database: La2Pm2Co3 after structural relaxation (PBE).

```
data_La2Pm2Co3
_chemical_formula_sum 'La2 Pm2 Co3'
_cell_length_a 3.770
_cell_length_b 6.750
_cell_length_c 7.246
_cell_angle_alpha 92.38
_cell_angle_beta 104.96
_cell_angle_gamma 90.01
_symmetry_space_group_name_H-M 'P -1'
_symmetry_Int_Tables_number 2
_symmetry_space_group_name_Hall '-P 1'
loop_
_atom_site_label
_atom_site_type_symbol
_atom_site_fract_x
_atom_site_fract_y
_atom_site_fract_z
La1 La 0.140 0.165 0.280
Pm1 Pm 0.399 0.326 0.801
Co1 Co 0.243 0.597 0.486
Co2 Co 0.500 0.000 0.000
```

=====

[9]
Entry from the Alexandria database: LaPm4Co after structural relaxation (PBE).

```
data_LaPm4Co
_chemical_formula_sum 'La1 Pm4 Co1'
_cell_length_a 4.755
_cell_length_b 4.755
_cell_length_c 9.233
_cell_angle_alpha 90.00
_cell_angle_beta 90.00
_cell_angle_gamma 90.00
_symmetry_space_group_name_H-M 'P 4/m m m'
_symmetry_Int_Tables_number 123
_symmetry_space_group_name_Hall '-P 4 2'
loop_
_atom_site_label
_atom_site_type_symbol
_atom_site_fract_x
_atom_site_fract_y
_atom_site_fract_z
La1 La 0.000 0.000 0.000
Pm1 Pm 0.000 0.500 0.321
Co1 Co 0.500 0.500 0.500
```

Energy above the lowest structure with this stoichiometry   28.6 kJ per mole of atoms

=====

[10]
Entry from the Alexandria database: LaPm2Co2 after structural relaxation (PBE).

```
data_LaPm2Co2
_chemical_formula_sum 'La2 Pm4 Co4'
_cell_length_a 4.034
_cell_length_b 14.797
_cell_length_c 4.162
_cell_angle_alpha 90.00
_cell_angle_beta 90.00
_cell_angle_gamma 90.00
_symmetry_space_group_name_H-M 'C m m m'
_symmetry_Int_Tables_number 65
_symmetry_space_group_name_Hall '-C 2 2'
loop_
_atom_site_label
_atom_site_type_symbol
_atom_site_fract_x
_atom_site_fract_y
_atom_site_fract_z
La1 La 0.000 0.000 0.000
Pm1 Pm 0.000 0.350 0.500
Co1 Co 0.000 0.213 0.000
```

Energy above the lowest structure with this stoichiometry   0.0 kJ per mole of atoms

=====

[11]
Entry from the Alexandria database: LaPm3Co after structural relaxation (PBE).

```
data_LaPm3Co
_chemical_formula_sum 'La4 Pm12 Co4'
_cell_length_a 8.531
_cell_length_b 8.477
_cell_length_c 8.564
_cell_angle_alpha 90.00
_cell_angle_beta 90.00
_cell_angle_gamma 90.00
_symmetry_space_group_name_H-M 'I m a 2'
_symmetry_Int_Tables_number 46
_symmetry_space_group_name_Hall 'I 2 -2a'
loop_
_atom_site_label
_atom_site_type_symbol
_atom_site_fract_x
_atom_site_fract_y
_atom_site_fract_z
La1 La 0.250 0.040 0.000
Pm1 Pm 0.045 0.707 0.207
Pm2 Pm 0.250 0.042 0.415
Co1 Co 0.250 0.112 0.717
```

Energy above the lowest structure with this stoichiometry   0.1 kJ per mole of atoms

=====

[12]
Entry from the Alexandria database: LaPm3Co after structural relaxation (PBE).

```
data_LaPm3Co
_chemical_formula_sum 'La4 Pm12 Co4'
_cell_length_a 11.967
_cell_length_b 8.534
_cell_length_c 8.488
_cell_angle_alpha 90.00
_cell_angle_beta 134.32
_cell_angle_gamma 90.00
_symmetry_space_group_name_H-M 'C 1 2/m 1'
_symmetry_Int_Tables_number 12
_symmetry_space_group_name_Hall '-C 2y'
loop_
_atom_site_label
_atom_site_type_symbol
_atom_site_fract_x
_atom_site_fract_y
_atom_site_fract_z
La1 La 0.040 0.000 0.329
Pm1 Pm 0.044 0.500 0.249
Pm2 Pm 0.249 0.295 0.792
Co1 Co 0.244 0.000 0.883
```

Energy above the lowest structure with this stoichiometry   0.0 kJ per mole of atoms

=====

The records above yield energy relative to the elements values of -0.5; 0.1; 0.1; -0.1; -0.6; -0.7; 0.0; -0.1; 1.9; -0.2; -0.4; -0.4 eV/f.u., respectively.
The records above yield DOS(E_F) values of 31.59; 13.45; 9.93; 13.18; 14.45; 8.43; 39.93; 5.97; 8.04; 12.94; 21.45; 20.85 states/eV/cell, respectively.